Below is a relaxed DyIn3S6 crystal, with properties calculated at the GGA-PBE level.

a b c (Å): 3.882 11.286 10.885
angles (deg): 111.70 90.00 90.00
Fractional positions:
Dy 0.750 0.050 0.701
Dy 0.250 0.950 0.299
S 0.750 0.747 0.262
S 0.750 0.801 0.740
S 0.750 0.397 0.062
S 0.750 0.929 0.091
S 0.750 0.452 0.604
S 0.250 0.901 0.537
S 0.250 0.071 0.909
S 0.250 0.199 0.260
S 0.750 0.099 0.463
S 0.250 0.253 0.738
S 0.250 0.603 0.938
S 0.250 0.548 0.396
In 0.750 0.168 0.095
In 0.750 0.705 0.482
In 0.250 0.832 0.905
In 0.250 0.562 0.166
In 0.250 0.295 0.518
In 0.750 0.438 0.834

Results
- Uncorrected formation energy: -896 meV/atom

Below is a relaxed Ba4AlHg2 crystal, with properties calculated at the GGA-PBE level.

a b c (Å): 6.616 6.616 9.519
angles (deg): 69.67 69.67 90.00
Each line ends with the local moment (μB).
Fractional positions:
Ba 0.500 0.000 0.000  0.03
Ba 0.000 0.500 0.000  0.03
Ba 0.201 0.201 0.599  0.07
Ba 0.799 0.799 0.401  0.07
Al 0.000 0.000 0.000  0.02
Hg 0.406 0.406 0.188  0.02
Hg 0.594 0.594 0.812  0.02

Results
- Energy of formation from the pure elements: -44 kJ/mol of formula units

Below is a relaxed SrSc2Te crystal, with properties calculated at the GGA-PBE level.

a b c (Å): 10.039 10.039 10.039
angles (deg): 22.45 22.45 22.45
Fractional positions:
Sc 0.477 0.477 0.477
Sc 0.023 0.023 0.023
Sr 0.250 0.250 0.250
Te 0.750 0.750 0.750

Results
- Uncorrected formation energy: -306 meV/atom

Below is a relaxed BaHfBe2Cu crystal, with properties calculated at the GGA-PBE level.

a b c (Å): 4.473 5.022 4.473
angles (deg): 90.00 90.00 90.00
Fractional positions:
Hf 0.000 0.500 0.000
Be 0.500 0.000 0.000
Be 0.000 0.000 0.500
Cu 0.000 0.000 0.000
Ba 0.500 0.500 0.500

Results
- Energy of formation from the pure elements: 317 kJ/mol of formula units

Below is a relaxed CuTe2W crystal, with properties calculated at the GGA-PBE level.

a b c (Å): 3.435 3.435 7.703
angles (deg): 90.00 90.00 90.00
Fractional positions:
Te 0.000 0.000 0.888
Te 0.500 0.500 0.348
Cu 0.500 0.500 0.727
W 0.000 0.000 0.537

Results
- Uncorrected formation energy: 355 meV/atom

Below is a relaxed AuC2 crystal, with properties calculated at the GGA-PBE level.

a b c (Å): 3.744 3.744 9.109
angles (deg): 96.15 96.15 39.80
Fractional positions:
C 0.452 0.452 0.346
C 0.975 0.975 0.419
C 0.025 0.025 0.581
C 0.548 0.548 0.654
Au 0.368 0.368 0.118
Au 0.632 0.632 0.882

Results
- Energy of formation from the pure elements: 194 kJ/mol of formula units